No. 1
A relaxed LiSc2Nb crystal. Source: the Open Quantum Materials Database, functional PBE.

a = 4.833 Å, b = 4.833 Å, c = 4.833 Å
α = 60.00°, β = 60.00°, γ = 60.00°
Sites, in units of the cell vectors:
1 Li 0.000 0.000 0.000
2 Sc 0.500 0.500 0.500
3 Sc 0.750 0.750 0.750
4 Nb 0.250 0.250 0.250

## Properties
* size of the total moment: 1.35 Bohr magnetons per cell
* calculated total energy: -23.01 eV per cell
* calculated volume: 19.96 A^3/atom

=====

No. 2
A relaxed LiScNb crystal. Source: the Open Quantum Materials Database, functional PBE.

a = 4.615 Å, b = 4.615 Å, c = 4.615 Å
α = 60.00°, β = 60.00°, γ = 60.00°
Sites, in units of the cell vectors:
1 Li 0.000 0.000 0.000
2 Sc 0.500 0.500 0.500
3 Nb 0.250 0.250 0.250

## Properties
* size of the total moment: 2.68 Bohr magnetons per cell
* calculated total energy: -14.57 eV per cell
* calculated volume: 23.16 A^3/atom
* offset from the most stable computed form: 0.00 eV/f.u.